A:
# HfTlC2

Crystalline HfTlC2 at its relaxed geometry (GGA-PBE, the Alexandria database).

Geometry as CIF:
```
data_HfTlC2
_symmetry_space_group_name_H-M 'P 1'
_symmetry_Int_Tables_number 1
_cell_length_a 5.388
_cell_length_b 5.388
_cell_length_c 6.121
_cell_angle_alpha 63.89
_cell_angle_beta 63.89
_cell_angle_gamma 90.00
loop_
_symmetry_equiv_pos_as_xyz
'x,y,z'
loop_
_atom_site_label
_atom_site_fract_x
_atom_site_fract_y
_atom_site_fract_z
Tl1 0.000 0.000 0.000
Tl2 0.750 0.250 0.500
Hf1 0.500 0.500 0.000
Hf2 0.250 0.750 0.500
C1 0.598 0.125 0.250
C2 0.152 0.625 0.250
C3 0.375 0.402 0.750
C4 0.875 0.848 0.750
```



B:
# HfTlC2

Crystalline HfTlC2 at its relaxed geometry (GGA-PBE, the Alexandria database).

Geometry as CIF:
```
data_HfTlC2
_symmetry_space_group_name_H-M 'P 1'
_symmetry_Int_Tables_number 1
_cell_length_a 4.241
_cell_length_b 4.241
_cell_length_c 4.241
_cell_angle_alpha 60.00
_cell_angle_beta 60.00
_cell_angle_gamma 60.00
loop_
_symmetry_equiv_pos_as_xyz
'x,y,z'
loop_
_atom_site_label
_atom_site_fract_x
_atom_site_fract_y
_atom_site_fract_z
Tl1 0.500 0.500 0.500
Hf1 0.000 0.000 0.000
C1 0.250 0.250 0.250
C2 0.750 0.750 0.750
```



Result of the stability comparison: B is the least stable of them.



A:
# HfTlC3

Crystalline HfTlC3 at its relaxed geometry (GGA-PBE, the Alexandria database).

Geometry as CIF:
```
data_HfTlC3
_symmetry_space_group_name_H-M 'P 1'
_symmetry_Int_Tables_number 1
_cell_length_a 4.400
_cell_length_b 4.400
_cell_length_c 4.400
_cell_angle_alpha 90.00
_cell_angle_beta 90.00
_cell_angle_gamma 90.00
loop_
_symmetry_equiv_pos_as_xyz
'x,y,z'
loop_
_atom_site_label
_atom_site_fract_x
_atom_site_fract_y
_atom_site_fract_z
Tl1 0.500 0.500 0.500
Hf1 0.000 0.000 0.000
C1 0.000 0.500 0.000
C2 0.000 0.000 0.500
C3 0.500 0.000 0.000
```



B:
# HfTlC3

Crystalline HfTlC3 at its relaxed geometry (GGA-PBE, the Alexandria database).

Geometry as CIF:
```
data_HfTlC3
_symmetry_space_group_name_H-M 'P 1'
_symmetry_Int_Tables_number 1
_cell_length_a 4.229
_cell_length_b 4.229
_cell_length_c 4.229
_cell_angle_alpha 90.00
_cell_angle_beta 90.00
_cell_angle_gamma 90.00
loop_
_symmetry_equiv_pos_as_xyz
'x,y,z'
loop_
_atom_site_label
_atom_site_fract_x
_atom_site_fract_y
_atom_site_fract_z
Tl1 0.000 0.000 0.000
Hf1 0.500 0.500 0.500
C1 0.000 0.500 0.000
C2 0.000 0.000 0.500
C3 0.500 0.000 0.000
```



Result of the stability comparison: B is the least stable of them.



A:
# Hf3UC4

Crystalline Hf3UC4 at its relaxed geometry (GGA-PBE, the Alexandria database).

Geometry as CIF:
```
data_Hf3UC4
_symmetry_space_group_name_H-M 'P 1'
_symmetry_Int_Tables_number 1
_cell_length_a 4.738
_cell_length_b 4.738
_cell_length_c 5.801
_cell_angle_alpha 114.11
_cell_angle_beta 114.11
_cell_angle_gamma 90.00
loop_
_symmetry_equiv_pos_as_xyz
'x,y,z'
loop_
_atom_site_label
_atom_site_fract_x
_atom_site_fract_y
_atom_site_fract_z
U1 0.000 0.000 0.000
C1 0.000 0.500 0.000
C2 0.500 0.000 0.000
C3 0.245 0.245 0.490
C4 0.755 0.755 0.510
Hf1 0.500 0.500 0.000
Hf2 0.750 0.250 0.500
Hf3 0.250 0.750 0.500
```



B:
# Hf3UC4

Crystalline Hf3UC4 at its relaxed geometry (GGA-PBE, the Alexandria database).

Geometry as CIF:
```
data_Hf3UC4
_symmetry_space_group_name_H-M 'P 1'
_symmetry_Int_Tables_number 1
_cell_length_a 4.709
_cell_length_b 6.955
_cell_length_c 7.647
_cell_angle_alpha 90.00
_cell_angle_beta 90.00
_cell_angle_gamma 90.00
loop_
_symmetry_equiv_pos_as_xyz
'x,y,z'
loop_
_atom_site_label
_atom_site_fract_x
_atom_site_fract_y
_atom_site_fract_z
Hf1 0.564 0.815 0.000
Hf2 0.064 0.657 0.247
Hf3 0.564 0.343 0.253
Hf4 0.064 0.185 0.500
Hf5 0.564 0.343 0.747
Hf6 0.064 0.657 0.753
U1 0.064 0.149 0.000
U2 0.564 0.851 0.500
C1 0.064 0.816 0.000
C2 0.564 0.152 0.000
C3 0.064 0.339 0.246
C4 0.564 0.661 0.254
C5 0.064 0.848 0.500
C6 0.564 0.184 0.500
C7 0.564 0.661 0.746
C8 0.064 0.339 0.754
```



Result of the stability comparison: B is the least stable of them.



A:
# HfZr2UC4

Crystalline HfZr2UC4 at its relaxed geometry (GGA-PBE, the Alexandria database).

Geometry as CIF:
```
data_HfZr2UC4
_symmetry_space_group_name_H-M 'P 1'
_symmetry_Int_Tables_number 1
_cell_length_a 11.255
_cell_length_b 11.255
_cell_length_c 11.255
_cell_angle_alpha 17.16
_cell_angle_beta 17.16
_cell_angle_gamma 17.16
loop_
_symmetry_equiv_pos_as_xyz
'x,y,z'
loop_
_atom_site_label
_atom_site_fract_x
_atom_site_fract_y
_atom_site_fract_z
Hf1 0.996 0.996 0.996
Zr1 0.504 0.504 0.504
Zr2 0.250 0.250 0.250
U1 0.750 0.750 0.750
C1 0.876 0.876 0.876
C2 0.625 0.625 0.625
C3 0.373 0.373 0.373
C4 0.126 0.126 0.126
```



B:
# HfZr2UC4

Crystalline HfZr2UC4 at its relaxed geometry (GGA-PBE, the Alexandria database).

Geometry as CIF:
```
data_HfZr2UC4
_symmetry_space_group_name_H-M 'P 1'
_symmetry_Int_Tables_number 1
_cell_length_a 3.368
_cell_length_b 5.850
_cell_length_c 5.840
_cell_angle_alpha 70.91
_cell_angle_beta 90.00
_cell_angle_gamma 90.00
loop_
_symmetry_equiv_pos_as_xyz
'x,y,z'
loop_
_atom_site_label
_atom_site_fract_x
_atom_site_fract_y
_atom_site_fract_z
Hf1 0.000 0.500 0.500
Zr1 0.000 0.000 0.000
Zr2 0.500 0.000 0.500
U1 0.500 0.500 0.000
C1 0.000 0.748 0.748
C2 0.000 0.252 0.252
C3 0.500 0.742 0.249
C4 0.500 0.258 0.751
```



Result of the stability comparison: A is the least stable of them.



A:
# HfV3C

Crystalline HfV3C at its relaxed geometry (GGA-PBE, the Alexandria database).

Geometry as CIF:
```
data_HfV3C
_symmetry_space_group_name_H-M 'P 1'
_symmetry_Int_Tables_number 1
_cell_length_a 4.094
_cell_length_b 4.094
_cell_length_c 4.094
_cell_angle_alpha 90.00
_cell_angle_beta 90.00
_cell_angle_gamma 90.00
loop_
_symmetry_equiv_pos_as_xyz
'x,y,z'
loop_
_atom_site_label
_atom_site_fract_x
_atom_site_fract_y
_atom_site_fract_z
C1 0.000 0.000 0.000
Hf1 0.500 0.500 0.500
V1 0.000 0.500 0.000
V2 0.000 0.000 0.500
V3 0.500 0.000 0.000
```



B:
# HfV3C

Crystalline HfV3C at its relaxed geometry (GGA-PBE, the Alexandria database).

Geometry as CIF:
```
data_HfV3C
_symmetry_space_group_name_H-M 'P 1'
_symmetry_Int_Tables_number 1
_cell_length_a 3.127
_cell_length_b 7.868
_cell_length_c 10.573
_cell_angle_alpha 90.00
_cell_angle_beta 90.00
_cell_angle_gamma 90.00
loop_
_symmetry_equiv_pos_as_xyz
'x,y,z'
loop_
_atom_site_label
_atom_site_fract_x
_atom_site_fract_y
_atom_site_fract_z
Hf1 0.750 0.823 0.981
Hf2 0.250 0.677 0.481
Hf3 0.750 0.323 0.519
Hf4 0.250 0.177 0.019
V1 0.250 0.548 0.081
V2 0.750 0.452 0.919
V3 0.250 0.048 0.419
V4 0.750 0.952 0.581
V5 0.250 0.398 0.736
V6 0.750 0.102 0.236
V7 0.250 0.898 0.764
V8 0.750 0.651 0.721
V9 0.250 0.349 0.279
V10 0.750 0.151 0.779
V11 0.750 0.602 0.264
V12 0.250 0.849 0.221
C1 0.250 0.137 0.633
C2 0.250 0.637 0.867
C3 0.750 0.363 0.133
C4 0.750 0.863 0.367
```



Result of the stability comparison: A is the least stable of them.



A:
# HfV2C

Crystalline HfV2C at its relaxed geometry (GGA-PBE, the Alexandria database).

Geometry as CIF:
```
data_HfV2C
_symmetry_space_group_name_H-M 'P 1'
_symmetry_Int_Tables_number 1
_cell_length_a 5.901
_cell_length_b 5.901
_cell_length_c 5.640
_cell_angle_alpha 58.46
_cell_angle_beta 58.46
_cell_angle_gamma 90.00
loop_
_symmetry_equiv_pos_as_xyz
'x,y,z'
loop_
_atom_site_label
_atom_site_fract_x
_atom_site_fract_y
_atom_site_fract_z
C1 0.500 0.500 0.000
C2 0.250 0.750 0.500
Hf1 0.000 0.000 0.000
Hf2 0.750 0.250 0.500
V1 0.480 0.125 0.250
V2 0.270 0.625 0.250
V3 0.375 0.520 0.750
V4 0.875 0.730 0.750
```



B:
# HfV2C

Crystalline HfV2C at its relaxed geometry (GGA-PBE, the Alexandria database).

Geometry as CIF:
```
data_HfV2C
_symmetry_space_group_name_H-M 'P 1'
_symmetry_Int_Tables_number 1
_cell_length_a 2.963
_cell_length_b 2.963
_cell_length_c 7.419
_cell_angle_alpha 78.48
_cell_angle_beta 78.48
_cell_angle_gamma 60.00
loop_
_symmetry_equiv_pos_as_xyz
'x,y,z'
loop_
_atom_site_label
_atom_site_fract_x
_atom_site_fract_y
_atom_site_fract_z
C1 0.000 0.000 0.000
Hf1 0.500 0.500 0.500
V1 0.282 0.282 0.154
V2 0.718 0.718 0.846
```



Result of the stability comparison: A is the least stable of them.